[1]
A geometry-optimized CrTe2Mo structure. Source: the Alexandria database, functional GGA-PBE.

As for the space group: P4mm, No. 99. The uncorrected formation energy is 173 meV/atom. The total magnetization is 0.00 Bohr magnetons per cell. As for the distance to the lowest polymorph of the same formula: 0.183 eV/atom.

extended XYZ file:
```
4
Lattice="3.2431 0.0000 0.0000 0.0000 3.2431 0.0000 0.0000 0.0000 8.0080" Properties=species:S:1:pos:R:3 pbc="T T T"
Cr 0.0000 0.0000 0.0000
Te 0.0000 0.0000 3.1290
Te 1.6215 1.6215 6.5707
Mo 1.6215 1.6215 1.5132
```

***

[2]
A geometry-optimized CrTe2Mo structure. Source: the Alexandria database, functional GGA-PBE.

As for the space group: P2/m, No. 10. The uncorrected formation energy is 340 meV/atom. The total magnetization is 4.11 Bohr magnetons per cell. As for the distance to the lowest polymorph of the same formula: 0.349 eV/atom.

extended XYZ file:
```
4
Lattice="3.4045 0.0000 0.0000 0.0000 3.4048 0.0000 -0.0076 0.0000 6.8830" Properties=species:S:1:pos:R:3 pbc="T T T"
Cr 0.0000 0.0000 0.0000
Te 1.6973 1.7024 1.7959
Te 1.6996 1.7024 5.0872
Mo -0.0038 0.0000 3.4415
```

***

[3]
A geometry-optimized CrTe2Mo structure. Source: the Alexandria database, functional GGA-PBE.

As for the space group: R-3m, No. 166. The uncorrected formation energy is 368 meV/atom. The total magnetization is 13.84 Bohr magnetons per cell. As for the distance to the lowest polymorph of the same formula: 0.377 eV/atom.

extended XYZ file:
```
12
Lattice="3.5542 0.0000 0.0000 -1.7771 3.0781 0.0000 0.0000 0.0000 23.7615" Properties=species:S:1:pos:R:3 pbc="T T T"
Cr 0.0000 0.0000 0.0000
Cr 0.0000 2.0520 15.8410
Cr 1.7771 1.0260 7.9205
Te 0.0000 0.0000 5.8616
Te 0.0000 0.0000 17.8999
Te 0.0000 2.0520 9.9794
Te 0.0000 2.0520 21.7026
Te 1.7771 1.0260 2.0589
Te 1.7771 1.0260 13.7821
Mo 0.0000 0.0000 11.8808
Mo 0.0000 2.0520 3.9603
Mo 1.7771 1.0260 19.8012
```

***

[4]
A geometry-optimized CrTe2MoW structure. Source: the Alexandria database, functional GGA-PBE.

As for the space group: P4/mmm, No. 123. The uncorrected formation energy is 1945 meV/atom. The total magnetization is 1.62 Bohr magnetons per cell.

extended XYZ file:
```
5
Lattice="5.1978 0.0000 0.0000 0.0000 5.1978 0.0000 0.0000 0.0000 4.8372" Properties=species:S:1:pos:R:3 pbc="T T T"
Cr 0.0000 0.0000 0.0000
Te 0.0000 2.5989 2.4186
Te 2.5989 0.0000 2.4186
Mo 2.5989 2.5989 2.4186
W 2.5989 2.5989 0.0000
```

***

[5]
A geometry-optimized Cr2TeMoW structure. Source: the Alexandria database, functional GGA-PBE.

As for the space group: P4/mmm, No. 123. The uncorrected formation energy is 2243 meV/atom. The total magnetization is 0.69 Bohr magnetons per cell.

extended XYZ file:
```
5
Lattice="4.5164 0.0000 0.0000 0.0000 4.5164 0.0000 0.0000 0.0000 4.8803" Properties=species:S:1:pos:R:3 pbc="T T T"
Cr 0.0000 2.2582 0.0000
Cr 2.2582 0.0000 0.0000
Te 0.0000 0.0000 0.0000
Mo 2.2582 2.2582 2.4401
W 0.0000 0.0000 2.4401
```

***

[6]
A geometry-optimized TiCr2Mo6 structure. Source: the Alexandria database, functional GGA-PBE.

As for the space group: P-1, No. 2. The total magnetization is 0.00 Bohr magnetons per cell. The calculated formation energy comes out at 202.8 meV/atom.

extended XYZ file:
```
9
Lattice="4.9467 0.0000 0.0000 -0.0014 4.9687 0.0000 -1.2566 -2.4827 5.6197" Properties=species:S:1:pos:R:3 pbc="T T T"
Ti 0.0000 0.0000 0.0000
Cr -0.0670 2.4922 3.5221
Cr 3.7557 -0.0062 2.0976
Mo -0.0015 2.4825 1.2396
Mo 1.2445 0.0018 2.6675
Mo 1.2192 -1.2154 5.6180
Mo 2.4696 3.7014 0.0018
Mo 2.4442 2.4842 2.9522
Mo 3.6903 0.0035 4.3802
```